DFT (PBE+U) results for a relaxed structure of Na2FeCuO4.

Cell and atoms, written as POSCAR:
```
Na2FeCuO4
1.0
-2.9960 2.9960 2.7433
2.9960 -2.9960 2.7433
2.9960 2.9960 -2.7433
Na Fe Cu O
2 1 1 4
direct
0.0000 0.5000 0.5000 Na
0.5000 0.0000 0.5000 Na
0.0000 0.0000 0.0000 Fe
0.5000 0.5000 0.0000 Cu
0.0903 0.0903 0.6809 O
0.4093 0.4093 0.3191 O
0.5907 0.9097 0.0000 O
0.9097 0.5907 0.0000 O
```

Summary:
The space group is No. 121. The uncorrected energy comes out at -40.20 eV for the cell shown.